No. 1
The following is a DFT calculation (PBE) of Li2Pd3Au8 after structural relaxation.

Summary:
- Fermi-level density of states (states/eV/atom) = 0.2619
- energy relative to the elements (eV/atom) = -0.16
- theoretical density (g/cm3) = 14.3

```
Li2Pd3Au8
1.0
4.454 0.227 0.778
1.098 6.908 2.179
0.570 -0.257 7.299
Li Pd Au
2 3 8
Direct
0.347 0.320 0.320
0.653 0.680 0.680
0.500 0.000 0.000
0.000 0.228 0.772
0.000 0.772 0.228
0.198 0.571 0.571
0.802 0.429 0.429
0.877 0.171 0.171
0.123 0.829 0.829
0.654 0.602 0.066
0.654 0.066 0.602
0.346 0.934 0.398
0.346 0.398 0.934
```

No. 2
The following is a DFT calculation (PBE) of LiPdAu after structural relaxation.

Summary:
- Fermi-level density of states (states/eV/atom) = 0.3807
- energy relative to the elements (eV/atom) = -0.40
- energy above the lowest structure with this stoichiometry (eV per atom) = 0.033
- theoretical density (g/cm3) = 10.9

```
LiPdAu
1.0
-0.831 2.827 -4.454
-4.451 1.252 1.626
3.492 3.454 6.903
Li Pd Au
4 4 4
Direct
0.001 0.309 0.169
0.999 0.309 0.831
0.001 0.809 0.669
0.999 0.809 0.331
0.000 0.808 0.000
0.000 0.308 0.500
0.500 0.140 0.500
0.500 0.640 0.000
0.498 0.639 0.333
0.502 0.639 0.667
0.498 0.139 0.833
0.502 0.139 0.167
```

No. 3
The following is a DFT calculation (PBE) of Li2Pd4Au after structural relaxation.

Summary:
- Fermi-level density of states (states/eV/atom) = 1.2697
- energy relative to the elements (eV/atom) = -0.04
- theoretical density (g/cm3) = 8.6

```
Li2Pd4Au
1.0
3.637 0.000 0.000
0.000 3.637 0.000
-1.818 -1.818 9.328
Li Pd Au
2 4 1
Direct
0.590 0.590 0.179
0.410 0.410 0.821
0.141 0.141 0.283
0.859 0.859 0.717
0.750 0.250 0.500
0.250 0.750 0.500
0.000 0.000 0.000
```

No. 4
The following is a DFT calculation (PBE) of Li3PdAu2 after structural relaxation.

Summary:
- Fermi-level density of states (states/eV/atom) = 0.3321
- energy relative to the elements (eV/atom) = -0.40
- energy above the lowest structure with this stoichiometry (eV per atom) = 0.090
- theoretical density (g/cm3) = 9.2

```
Li3PdAu2
1.0
2.892 0.000 0.000
0.000 5.297 0.000
-1.446 0.000 12.224
Li Pd Au
6 2 4
Direct
0.421 0.500 0.842
0.579 0.500 0.158
0.421 0.000 0.842
0.579 0.000 0.158
0.746 0.750 0.492
0.254 0.250 0.508
0.333 0.750 0.665
0.667 0.250 0.335
0.157 0.750 0.315
0.843 0.250 0.685
0.001 0.750 0.001
0.999 0.250 0.999
```

| no. | M_tot (μB/f.u.) |
| --- | --- |
| 1 | 0.0 |
| 2 | 0.0 |
| 3 | 0.0 |
| 4 | 0.0 |